This record from the Alexandria database describes an optimized crystal structure of TmThCN. The functional is GGA-PBE.

abc: 3.6269 3.6269 5.0366
angles: 90.00 90.00 90.00
With the nearest neighbours (Å) after each atom.
Fractional positions:
Tm 0.5000 0.5000 0.0000  2 N 2.52, 4 C 2.56
Th 0.0000 0.0000 0.5000  2 C 2.52, 4 N 2.56
C 0.0000 0.0000 0.0000  2 Th 2.52, 4 Tm 2.56
N 0.5000 0.5000 0.5000  2 Tm 2.52, 4 Th 2.56

Results
**V**: 66 Å³/cell
**Uncorrected formation energy**: -3.93 eV per formula unit

=====

This record from the Alexandria database describes an optimized crystal structure of SrZn2Ag6. The functional is GGA-PBE.

abc: 8.5329 8.5329 8.5329
angles: 60.00 60.00 60.00
With the nearest neighbours (Å) after each atom.
Fractional positions:
Sr 0.5000 0.5000 0.5000  6 Ag 3.11
Sr 0.7500 0.7500 0.7500  6 Ag 3.11
Zn 0.1250 0.1250 0.1250  6 Ag 2.56
Zn 0.1250 0.6250 0.1250  6 Ag 2.56
Zn 0.1250 0.1250 0.6250  6 Ag 2.56
Zn 0.6250 0.1250 0.1250  6 Ag 2.56
Ag 0.2426 0.2426 0.7574  2 Zn 2.56
Ag 0.7574 0.7574 0.2426  2 Zn 2.56
Ag 0.2426 0.7574 0.2426  2 Zn 2.56
Ag 0.2426 0.7574 0.7574  2 Zn 2.56
Ag 0.4926 0.4926 0.0074  2 Zn 2.56
Ag 0.4926 0.0074 0.0074  2 Zn 2.56
Ag 0.7574 0.2426 0.7574  2 Zn 2.56
Ag 0.0074 0.0074 0.4926  2 Zn 2.56
Ag 0.4926 0.0074 0.4926  2 Zn 2.56
Ag 0.0074 0.4926 0.4926  2 Zn 2.56
Ag 0.7574 0.2426 0.2426  2 Zn 2.56
Ag 0.0074 0.4926 0.0074  2 Zn 2.56

Results
**ΔE_f**: 0.189 eV/atom
**Energy relative to the lowest polymorph listed for this composition**: 0.283 eV per atom
**V**: 439 Å³/cell

=====

This record from the Alexandria database describes an optimized crystal structure of Ba2ZrOsN. The functional is GGA-PBE.

abc: 6.4089 4.7177 6.4089
angles: 90.00 90.00 90.00
With the nearest neighbours (Å) after each atom.
Fractional positions:
Os 0.0000 0.5000 0.0000  2 Zr 2.36
Ba 0.0000 0.0000 0.5000  2 Zr 3.20
Ba 0.5000 0.0000 0.0000  2 Zr 3.20
Zr 0.0000 0.0000 0.0000  2 Os 2.36
N 0.5000 0.5000 0.5000  8 Ba 3.98

Results
**V**: 194 Å³/cell
**Uncorrected formation energy**: 8.23 eV per formula unit

=====

This record from the Alexandria database describes an optimized crystal structure of Tl4SI3. The functional is GGA-PBE.

abc: 7.1643 10.7899 9.3705
angles: 90.00 90.00 90.00
With the nearest neighbours (Å) after each atom.
Fractional positions:
Tl 0.0627 0.9587 0.0000  1 S 2.95
Tl 0.6532 0.2365 0.0000  1 S 2.68
Tl 0.0588 0.3327 0.2834  1 S 2.88
Tl 0.5588 0.6673 0.2166  1 S 2.88
Tl 0.1532 0.7635 0.5000  1 S 2.68
Tl 0.5627 0.0413 0.5000  1 S 2.95
Tl 0.5588 0.6673 0.7834  1 S 2.88
Tl 0.0588 0.3327 0.7166  1 S 2.88
S 0.0270 0.2309 0.0000  4 Tl 2.68-2.95
S 0.5270 0.7691 0.5000  4 Tl 2.68-2.95
I 0.5578 0.9465 0.0000  2 Tl 3.20-3.55
I 0.0485 0.6589 0.1993  1 Tl 3.13
I 0.5485 0.3411 0.3007  1 Tl 3.13
I 0.0578 0.0535 0.5000  2 Tl 3.20-3.55
I 0.5485 0.3411 0.6993  1 Tl 3.13
I 0.0485 0.6589 0.8007  1 Tl 3.13

Results
**V**: 724 Å³/cell
**Uncorrected formation energy**: -3.37 eV per formula unit

=====

This record from the Alexandria database describes an optimized crystal structure of Co2HgC. The functional is GGA-PBE.

abc: 5.9523 5.9523 5.1142
angles: 54.41 54.41 90.00
With the nearest neighbours (Å) after each atom.
Fractional positions:
C 0.5000 0.5000 0.0000  4 Co 1.82
C 0.2500 0.7500 0.5000  4 Co 1.82
Co 0.5022 0.1250 0.2500  2 C 1.82
Co 0.2478 0.6250 0.2500  2 C 1.82
Co 0.3750 0.4978 0.7500  2 C 1.82
Co 0.8750 0.7522 0.7500  2 C 1.82
Hg 0.0000 0.0000 0.0000  8 Co 2.74-2.77, 2 C 2.91
Hg 0.7500 0.2500 0.5000  8 Co 2.74-2.77, 2 C 2.91

Results
**ΔE_f**: 0.474 eV/atom
**Energy relative to the lowest polymorph listed for this composition**: 0.000 eV per atom
**V**: 103 Å³/cell

=====

This record from the Alexandria database describes an optimized crystal structure of CaScAg2. The functional is GGA-PBE.

abc: 7.8052 7.8052 6.4480
angles: 52.75 52.75 90.00
With the nearest neighbours (Å) after each atom.
Fractional positions:
Sc 0.0000 0.0000 0.0000  4 Ag 2.76
Sc 0.7500 0.2500 0.5000  4 Ag 2.76
Ca 0.5000 0.5000 0.0000  4 Ag 3.01, 2 Sc 3.33
Ca 0.2500 0.7500 0.5000  4 Ag 3.01, 2 Sc 3.33
Ag 0.6494 0.1250 0.2500  2 Sc 2.76, 2 Ca 3.01
Ag 0.1006 0.6250 0.2500  2 Sc 2.76, 2 Ca 3.01
Ag 0.3750 0.3506 0.7500  2 Sc 2.76, 2 Ca 3.01
Ag 0.8750 0.8994 0.7500  2 Sc 2.76, 2 Ca 3.01

Results
**ΔE_f**: 0.107 eV/atom
**V**: 203 Å³/cell

=====

This record from the Alexandria database describes an optimized crystal structure of K2CrMoW. The functional is GGA-PBE.

abc: 6.4330 4.5622 6.4330
angles: 90.00 90.00 90.00
With the nearest neighbours (Å) after each atom.
Fractional positions:
Cr 0.5000 0.5000 0.5000  8 K 3.94
Mo 0.0000 0.0000 0.0000  2 W 2.28
K 0.0000 0.0000 0.5000  2 Mo 3.22
K 0.5000 0.0000 0.0000  2 Mo 3.22
W 0.0000 0.5000 0.0000  2 Mo 2.28

Results
**ΔE_f**: 2.086 eV/atom
**V**: 189 Å³/cell

=====

This record from the Alexandria database describes an optimized crystal structure of CdRuBr2. The functional is GGA-PBE.

abc: 7.6119 7.6119 7.6119
angles: 155.43 143.59 44.42
With the nearest neighbours (Å) after each atom.
Fractional positions:
Ru 0.2500 0.7500 0.5000  4 Br 2.57, 4 Cd 2.88
Br 0.1083 0.1083 0.0000  2 Ru 2.57
Br 0.3917 0.3917 0.0000  2 Ru 2.57
Cd 0.7500 0.2500 0.5000  4 Ru 2.88, 4 Br 3.11

Results
**Energy relative to the lowest polymorph listed for this composition**: 0.041 eV per atom
**V**: 109 Å³/cell
**Uncorrected formation energy**: 0.04 eV per formula unit